A plane-wave DFT calculation with meta-GGA SCAN was carried out for a crystal of Li3NiO3 relaxed with PBEsol.

Cell and atoms, written as CIF:
```
data_Li3NiO3
_chemical_formula_sum 'Li12 Ni4 O12'
_space_group_name_H-M_alt 'P 42/m n m'
_space_group_IT_number 136
_space_group_name_Hall '-P 4n 2n'
_cell_length_a 8.415
_cell_length_b 8.415
_cell_length_c 3.690
_cell_angle_alpha 90.00
_cell_angle_beta 90.00
_cell_angle_gamma 90.00
loop_
_atom_site_label
_atom_site_type_symbol
_atom_site_fract_x
_atom_site_fract_y
_atom_site_fract_z
Li1 Li 0.109 0.372 0.000
Li2 Li 0.160 0.160 0.500
Ni1 Ni 0.116 0.884 0.000
O1 O 0.101 0.101 0.000
O2 O 0.113 0.670 0.000
```

Results
volume = 65.3 Å³/f.u.
energy relative to the elements, uncorrected = -1733 meV per atom
calculated total energy = -216.7 eV/cell



A plane-wave DFT calculation with meta-GGA SCAN was carried out for a crystal of LiNi2O4 relaxed with PBEsol.

Cell and atoms, written as CIF:
```
data_LiNi2O4
_chemical_formula_sum 'Li4 Ni8 O16'
_space_group_name_H-M_alt 'P 63 m c'
_space_group_IT_number 186
_space_group_name_Hall 'P 6c -2c'
_cell_length_a 5.6007
_cell_length_b 5.6007
_cell_length_c 9.0971
_cell_angle_alpha 90.00
_cell_angle_beta 90.00
_cell_angle_gamma 120.00
loop_
_atom_site_label
_atom_site_type_symbol
_atom_site_fract_x
_atom_site_fract_y
_atom_site_fract_z
Li1 Li 0.0000 0.0000 0.0000
Li2 Li 0.3333 0.6667 0.3993
Ni1 Ni 0.1698 0.3396 0.7180
Ni2 Ni 0.3333 0.6667 0.9935
O1 O 0.0000 0.0000 0.3088
O2 O 0.0388 0.5194 0.8436
O3 O 0.1640 0.3280 0.1041
O4 O 0.3333 0.6667 0.6147
```

Results
volume = 61.8 Å³/f.u.
energy relative to the elements, uncorrected = -1389 meV per atom
calculated total energy = -277.5 eV/cell
relative energy among the computed polymorphs = 26.3 meV/atom



A plane-wave DFT calculation with meta-GGA SCAN was carried out for a crystal of Li6NiO4 relaxed with PBEsol.

Cell and atoms, written as CIF:
```
data_Li6NiO4
_chemical_formula_sum 'Li12 Ni2 O8'
_space_group_name_H-M_alt 'P 42/n m c'
_space_group_IT_number 137
_cell_length_a 6.483
_cell_length_b 6.483
_cell_length_c 4.570
_cell_angle_alpha 90.00
_cell_angle_beta 90.00
_cell_angle_gamma 90.00
loop_
_space_group_symop_operation_xyz
'x,y,z'
'-x,-y,-z'
'-y+1/2,x,z+1/2'
'y+1/2,-x,-z+1/2'
'-x+1/2,-y+1/2,z'
'x+1/2,y+1/2,-z'
'y,-x+1/2,z+1/2'
'-y,x+1/2,-z+1/2'
'x+1/2,-y,-z'
'-x+1/2,y,z'
'-y,-x,-z+1/2'
'y,x,z+1/2'
'-x,y+1/2,-z'
'x,-y+1/2,z'
'y+1/2,x+1/2,-z+1/2'
'-y+1/2,-x+1/2,z+1/2'
loop_
_atom_site_label
_atom_site_type_symbol
_atom_site_fract_x
_atom_site_fract_y
_atom_site_fract_z
Li1 Li 0.033 0.533 0.250
Li2 Li 0.250 0.250 0.191
Ni1 Ni 0.250 0.750 0.750
O1 O 0.016 0.250 0.453
```

Results
volume = 96.0 Å³/f.u.
energy relative to the elements, uncorrected = -1814 meV per atom
calculated total energy = -150.8 eV/cell